# 1
A plane-wave DFT calculation with PBE was carried out for a geometry-optimized Li2CaScTa structure.

Unit cell a=4.671 b=4.671 c=5.189 alpha=90.00 beta=90.00 gamma=90.00
Space group P4/mmm (No. 123)
Unique sites:
1 Li 0.000 0.500 0.000 [2 per cell]
2 Ca 0.000 0.000 0.000 [1 per cell]
3 Sc 0.500 0.500 0.500 [1 per cell]
4 Ta 0.000 0.000 0.500 [1 per cell]

Results
Its total magnetic moment is 0.247 μB per atom. For the formation energy, the calculation gives 1.274 eV/atom. The density of states at the Fermi level is 0.818 states/eV per atom.

=====

# 2
A plane-wave DFT calculation with PBE was carried out for a geometry-optimized LiCa4Sc3Te8 structure.

Unit cell a=8.6403 b=8.6403 c=21.3941 alpha=90.00 beta=90.00 gamma=120.00
Space group R-3m (No. 166, hexagonal axes)
Unique sites:
1 Li 0.0000 0.0000 0.0000 [3 per cell]
2 Ca 0.0000 0.0000 0.5000 [3 per cell]
3 Ca 0.0000 0.5000 0.5000 [9 per cell]
4 Sc 0.0000 0.5000 0.0000 [9 per cell]
5 Te 0.0000 0.0000 0.2563 [6 per cell]
6 Te 0.0013 0.5007 0.2567 [18 per cell]

Results
Its total magnetic moment is 0.000 μB per atom. As for the uncorrected energy: -228.2 eV/cell. The density of states at the Fermi level is 0.351 states/eV per atom.